Record 1
Below is AlB2H8 after structural relaxation, with properties calculated at the PBE level.

Calculated values
Offset from the most stable computed form, eV per formula unit: 0.00
Calculated total energy, eV for the cell shown: -87.1

Cell lengths 5.095, 6.665, 7.002 Å; angles 78.75, 68.67, 67.53 degrees
Positions (direct):
Al1 0.034 0.750 0.250
Al2 0.966 0.250 0.750
B1 0.866 0.833 0.974
B2 0.327 0.333 0.474
B3 0.673 0.667 0.526
B4 0.134 0.167 0.026
H1 0.419 0.785 0.540
H2 0.128 0.014 0.170
H3 0.728 0.933 0.133
H4 0.172 0.236 0.456
H5 0.272 0.067 0.867
H6 0.864 0.264 0.044
H7 0.828 0.764 0.544
H8 0.207 0.433 0.633
H9 0.136 0.736 0.956
H10 0.744 0.715 0.960
H11 0.687 0.514 0.670
H12 0.313 0.486 0.330
H13 0.256 0.285 0.040
H14 0.793 0.567 0.367
H15 0.581 0.215 0.460
H16 0.872 0.986 0.830

***

Record 2
Below is AlBH6 after structural relaxation, with properties calculated at the PBE level.

Calculated values
Calculated total energy, eV for the cell shown: -28.4

Cell lengths 4.304, 4.304, 3.908 Å; angles 97.82, 97.82, 125.86 degrees
Positions (direct):
Al1 0.000 0.000 0.000
B1 0.500 0.500 0.500
H1 0.268 0.268 0.731
H2 0.437 0.163 0.299
H3 0.732 0.732 0.269
H4 0.837 0.563 0.701
H5 0.563 0.837 0.701
H6 0.163 0.437 0.299

***

Record 3
Below is AlB2H6 after structural relaxation, with properties calculated at the PBE level.

Calculated values
Offset from the most stable computed form, eV per formula unit: 0.94
Calculated total energy, eV for the cell shown: -71.0

Cell lengths 3.352, 8.180, 8.180 Å; angles 74.07, 87.46, 87.46 degrees
Positions (direct):
Al1 0.250 0.099 0.901
Al2 0.750 0.901 0.099
B1 0.234 0.604 0.737
B2 0.266 0.263 0.396
B3 0.766 0.396 0.263
B4 0.734 0.737 0.604
H1 0.405 0.667 0.586
H2 0.095 0.414 0.333
H3 0.595 0.333 0.414
H4 0.905 0.586 0.667
H5 0.807 0.768 0.452
H6 0.693 0.548 0.232
H7 0.193 0.232 0.548
H8 0.307 0.452 0.768
H9 0.227 0.668 0.851
H10 0.273 0.149 0.332
H11 0.773 0.332 0.149
H12 0.727 0.851 0.668

***

What volume values result from the calculations? In sequence: 204.2, 56.0, 215.3 Å³ per cell.